# 1
The following is a GGA-PBEsol calculation of crystalline YTi2Tc2 at its relaxed geometry, from Alexandria.

Cell: 6.2445 6.2445 6.2445 Å, 141.90 141.90 54.97°
With the nearest neighbours (Å) after each atom.
Sites, in units of the cell vectors:
1 Y 0.0000 0.0000 0.0000  8 Tc 3.14, 8 Ti 3.44
2 Ti 0.2500 0.7500 0.5000  4 Tc 2.54
3 Ti 0.7500 0.2500 0.5000  4 Tc 2.54
4 Tc 0.3871 0.3871 0.0000  1 Tc 2.50, 4 Ti 2.54
5 Tc 0.6129 0.6129 0.0000  1 Tc 2.50, 4 Ti 2.54

formation energy from the elements = -0.079 eV/atom
D(E_F) = 3.1 states/eV per cell
space group = No. 139
raw total energy = -9.279 eV/atom

=====

# 2
The following is a GGA-PBEsol calculation of crystalline Li2TlIn at its relaxed geometry, from Alexandria.

Cell: 4.7802 4.7802 3.3684 Å, 90.00 90.00 90.00°
With the nearest neighbours (Å) after each atom.
Sites, in units of the cell vectors:
1 Li 0.0000 0.5000 0.0000  4 In 2.92, 4 Tl 2.92
2 Li 0.5000 0.0000 0.0000  4 In 2.92, 4 Tl 2.92
3 Tl 0.0000 0.0000 0.5000  8 Li 2.92
4 In 0.5000 0.5000 0.5000  8 Li 2.92

formation energy from the elements = -0.289 eV/atom
D(E_F) = 1.0 states/eV per cell
space group = No. 123
raw total energy = -2.675 eV/atom

=====

# 3
The following is a GGA-PBEsol calculation of crystalline ScTlCl4 at its relaxed geometry, from Alexandria.

Cell: 5.8073 5.8073 5.8073 Å, 60.00 60.00 60.00°
With the nearest neighbours (Å) after each atom.
Sites, in units of the cell vectors:
1 Sc 0.0000 0.0000 0.0000  12 Cl 3.40, 4 Tl 3.56
2 Tl 0.7500 0.7500 0.7500  12 Cl 3.41, 4 Sc 3.56
3 Cl 0.3743 0.3743 0.3743  6 Cl 2.89-2.92
4 Cl 0.3743 0.3743 0.8770  6 Cl 2.89-2.92
5 Cl 0.3743 0.8770 0.3743  6 Cl 2.89-2.92
6 Cl 0.8770 0.3743 0.3743  6 Cl 2.89-2.92

D(E_F) = 8.3 states/eV per cell
space group = No. 216
raw total energy = -3.020 eV/atom

=====

# 4
The following is a GGA-PBEsol calculation of crystalline SrTlRh2 at its relaxed geometry, from Alexandria.

Cell: 5.4820 5.4820 5.4820 Å, 136.51 136.51 63.19°
With the nearest neighbours (Å) after each atom.
Sites, in units of the cell vectors:
1 Sr 0.0000 0.0000 0.0000  8 Rh 2.87-3.09, 4 Tl 3.09
2 Tl 0.7500 0.2500 0.5000  8 Rh 2.87-3.09, 4 Sr 3.09
3 Rh 0.2500 0.7500 0.5000  4 Tl 2.87, 4 Rh 3.09, 4 Sr 3.09
4 Rh 0.5000 0.5000 0.0000  4 Sr 2.87, 4 Tl 3.09, 4 Rh 3.09

polymorph energy (0 for the lowest one) = 92 kJ/mol of formula units
formation energy from the elements = 0.132 eV/atom
D(E_F) = 5.8 states/eV per cell
space group = No. 119
raw total energy = -5.055 eV/atom

=====

# 5
The following is a GGA-PBEsol calculation of crystalline Sc2TaCd at its relaxed geometry, from Alexandria.

Cell: 10.0453 10.0453 10.0453 Å, 17.75 17.75 17.75°
With the nearest neighbours (Å) after each atom.
Sites, in units of the cell vectors:
1 Sc 0.2471 0.2471 0.2471  3 Ta 2.98, 6 Sc 3.10, 3 Cd 3.12
2 Sc 0.7529 0.7529 0.7529  3 Ta 2.98, 6 Sc 3.10, 3 Cd 3.12
3 Ta 0.5000 0.5000 0.5000  6 Sc 2.98, 6 Ta 3.10
4 Cd 0.0000 0.0000 0.0000  6 Cd 3.10, 6 Sc 3.12

formation energy from the elements = 0.022 eV/atom
D(E_F) = 5.4 states/eV per cell
space group = No. 166
raw total energy = -6.717 eV/atom

=====

# 6
The following is a GGA-PBEsol calculation of crystalline IrI2Cl at its relaxed geometry, from Alexandria.

Cell: 4.9129 4.9129 4.9129 Å, 60.00 60.00 60.00°
With the nearest neighbours (Å) after each atom.
Sites, in units of the cell vectors:
1 Ir 0.0000 0.0000 0.0000  8 I 3.01
2 I 0.2500 0.2500 0.2500  4 Cl 3.01, 4 Ir 3.01
3 I 0.7500 0.7500 0.7500  4 Cl 3.01, 4 Ir 3.01
4 Cl 0.5000 0.5000 0.5000  8 I 3.01

D(E_F) = 3.7 states/eV per cell
space group = No. 225
raw total energy = -3.106 eV/atom

=====

# 7
The following is a GGA-PBEsol calculation of crystalline Sr2LiAsP at its relaxed geometry, from Alexandria.

Cell: 5.7212 5.7212 4.4345 Å, 90.00 90.00 90.00°
With the nearest neighbours (Å) after each atom.
Sites, in units of the cell vectors:
1 Sr 0.0000 0.5000 0.0000  2 P 2.86
2 Sr 0.5000 0.0000 0.0000  2 P 2.86
3 Li 0.0000 0.0000 0.5000  2 P 2.22
4 As 0.5000 0.5000 0.5000  8 Sr 3.62, 4 Li 4.05
5 P 0.0000 0.0000 0.0000  2 Li 2.22

formation energy from the elements = -0.659 eV/atom
D(E_F) = 4.8 states/eV per cell
space group = No. 123
raw total energy = -3.968 eV/atom

=====

# 8
The following is a GGA-PBEsol calculation of crystalline SiPBr2 at its relaxed geometry, from Alexandria.

Cell: 3.8312 3.8312 8.0100 Å, 91.80 91.80 57.10°
With the nearest neighbours (Å) after each atom.
Sites, in units of the cell vectors:
1 Si 0.0000 0.0000 0.0000  1 Br 2.30, 3 P 2.32-2.56
2 P 0.6448 0.6448 0.8755  3 Si 2.32-2.56, 1 Br 2.34
3 Br 0.1968 0.1968 0.2402  1 Si 2.30
4 Br 0.4275 0.4275 0.6411  1 P 2.34

polymorph energy (0 for the lowest one) = 0 kJ/mol of formula units
D(E_F) = 1.4 states/eV per cell
space group = No. 8
raw total energy = -3.975 eV/atom

=====

# 9
The following is a GGA-PBEsol calculation of crystalline NbTcSb3 at its relaxed geometry, from Alexandria.

Cell: 5.2468 5.2468 5.2468 Å, 90.00 90.00 90.00°
With the nearest neighbours (Å) after each atom.
Sites, in units of the cell vectors:
1 Nb 0.0000 0.0000 0.0000  6 Sb 2.62
2 Tc 0.5000 0.5000 0.5000  12 Sb 3.71
3 Sb 0.0000 0.0000 0.5000  2 Nb 2.62
4 Sb 0.0000 0.5000 0.0000  2 Nb 2.62
5 Sb 0.5000 0.0000 0.0000  2 Nb 2.62

D(E_F) = 4.2 states/eV per cell
space group = No. 221
raw total energy = -5.879 eV/atom

=====

# 10
The following is a GGA-PBEsol calculation of crystalline Cd2Cu at its relaxed geometry, from Alexandria.

Cell: 4.5889 4.5889 5.6059 Å, 90.00 90.00 120.00°
With the nearest neighbours (Å) after each atom.
Sites, in units of the cell vectors:
1 Cd 0.0000 0.0000 0.0000  8 Cd 2.80-3.00, 6 Cu 3.00
2 Cd 0.0000 0.0000 0.5000  8 Cd 2.80-3.00, 6 Cu 3.00
3 Cd 0.3333 0.6667 0.2500  5 Cu 2.65-2.80
4 Cd 0.6667 0.3333 0.7500  5 Cu 2.65-2.80
5 Cu 0.3333 0.6667 0.7500  5 Cd 2.65-2.80
6 Cu 0.6667 0.3333 0.2500  5 Cd 2.65-2.80

formation energy from the elements = 0.073 eV/atom
D(E_F) = 1.1 states/eV per cell
space group = No. 194
raw total energy = -2.169 eV/atom

=====

# 11
The following is a GGA-PBEsol calculation of crystalline LiAgP2 at its relaxed geometry, from Alexandria.

Cell: 2.5700 2.5700 9.2935 Å, 90.00 90.00 90.00°
With the nearest neighbours (Å) after each atom.
Sites, in units of the cell vectors:
1 Li 0.0000 0.0000 0.0000  4 Li 2.57, 4 P 2.61, 4 Ag 2.86
2 Ag 0.5000 0.5000 0.7617  4 Ag 2.57, 4 Li 2.86
3 P 0.0000 0.0000 0.5215  4 P 2.57
4 P 0.5000 0.5000 0.2017  4 P 2.57, 4 Li 2.61

polymorph energy (0 for the lowest one) = 97 kJ/mol of formula units
formation energy from the elements = 0.119 eV/atom
D(E_F) = 1.7 states/eV per cell
space group = No. 99
raw total energy = -4.096 eV/atom

=====

# 12
The following is a GGA-PBEsol calculation of crystalline MnBiBr3 at its relaxed geometry, from Alexandria.

Cell: 5.1143 5.1143 5.1143 Å, 90.00 90.00 90.00°
With the nearest neighbours (Å) after each atom.
Sites, in units of the cell vectors:
1 Mn 0.0000 0.0000 0.0000  6 Br 2.56
2 Bi 0.5000 0.5000 0.5000  12 Br 3.62
3 Br 0.0000 0.0000 0.5000  2 Mn 2.56
4 Br 0.0000 0.5000 0.0000  2 Mn 2.56
5 Br 0.5000 0.0000 0.0000  2 Mn 2.56

D(E_F) = 2.4 states/eV per cell
space group = No. 221
raw total energy = -4.058 eV/atom

=====

# 13
The following is a GGA-PBEsol calculation of crystalline ScZnAs2 at its relaxed geometry, from Alexandria.

Cell: 5.5498 5.5498 5.5498 Å, 140.17 140.04 57.69°
With the nearest neighbours (Å) after each atom.
Sites, in units of the cell vectors:
1 Sc 0.0000 0.0000 0.0000  4 As 2.68
2 Zn 0.2509 0.7509 0.5000  4 As 2.68
3 As 0.4990 0.4990 0.0000  4 Sc 2.68
4 As 0.7483 0.2483 0.5000  4 Zn 2.68

formation energy from the elements = -0.531 eV/atom
D(E_F) = 2.0 states/eV per cell
space group = No. 44
raw total energy = -5.131 eV/atom

=====

# 14
The following is a GGA-PBEsol calculation of crystalline CdInW2 at its relaxed geometry, from Alexandria.

Cell: 5.4582 5.4582 2.7883 Å, 98.55 98.55 118.62°
With the nearest neighbours (Å) after each atom.
Sites, in units of the cell vectors:
1 Cd 0.0000 0.0000 0.0000  2 In 2.79, 2 Cd 2.79, 4 W 2.87
2 In 0.5000 0.5000 0.0000  2 Cd 2.79, 2 In 2.79, 4 W 2.87
3 W 0.0000 0.5000 0.5000  4 W 2.79, 2 In 2.87, 2 Cd 2.87
4 W 0.5000 0.0000 0.5000  4 W 2.79, 2 In 2.87, 2 Cd 2.87

polymorph energy (0 for the lowest one) = 8 kJ/mol of formula units
formation energy from the elements = 0.642 eV/atom
D(E_F) = 2.2 states/eV per cell
space group = No. 12
raw total energy = -7.307 eV/atom

=====

Number 1: ρ 6.9 Mg/m³. Number 2: ρ 7.2 Mg/m³. Number 3: ρ 4.7 Mg/m³. Number 4: ρ 10.7 Mg/m³. Number 5: ρ 7.7 Mg/m³. Number 6: ρ 9.5 Mg/m³. Number 7: ρ 3.3 Mg/m³. Number 8: ρ 3.7 Mg/m³. Number 9: ρ 6.4 Mg/m³. Number 10: ρ 9.4 Mg/m³. Number 11: ρ 4.8 Mg/m³. Number 12: ρ 6.3 Mg/m³. Number 13: ρ 6.2 Mg/m³. Number 14: ρ 14.2 Mg/m³.